Here is crystalline PuIrRh at its relaxed geometry from Alexandria via LeMat-Bulk. Energies are from PBE.

abc: 3.1380 4.5053 4.5053
angles: 120.00 90.00 90.00
Last column: nearest neighbours and their distance in Å.
Positions (direct):
Ir1 0.1667 0.0000 0.0000  3 Rh 2.60
Rh1 0.1667 0.3333 0.6667  3 Ir 2.60
Pu1 0.6667 0.6667 0.3333  6 Rh 3.04, 6 Ir 3.04, 2 Pu 3.14

Output
ΔE to the lowest computed polymorph   290.3 meV/atom
ΔE_f   -259 meV per atom
Fermi-level density of states   8.09 states/eV/f.u.

***

Here is crystalline Pu5Ir2Rh2 at its relaxed geometry from Alexandria via LeMat-Bulk. Energies are from PBE.

abc: 6.3743 7.3106 9.7264
angles: 112.07 109.13 90.00
Last column: nearest neighbours and their distance in Å.
Positions (direct):
Pu1 0.2564 0.6495 0.8437  2 Ir 2.80-2.88, 2 Rh 2.86-3.08
Pu2 0.7436 0.8058 0.1563  2 Ir 2.80-2.88, 2 Rh 2.86-3.08
Pu3 0.0873 0.1495 0.8437  2 Ir 2.80-2.88, 2 Rh 2.86-3.08
Pu4 0.9127 0.3058 0.1563  2 Ir 2.80-2.88, 2 Rh 2.86-3.08
Pu5 0.3068 0.0055 0.3168  2 Rh 2.62-2.70, 2 Ir 2.89
Pu6 0.6932 0.6887 0.6832  2 Rh 2.62-2.70, 2 Ir 2.89
Pu7 0.5100 0.5055 0.3168  2 Rh 2.62-2.70, 2 Ir 2.89
Pu8 0.4900 0.1887 0.6832  2 Rh 2.62-2.70, 2 Ir 2.89
Pu9 0.1416 0.7682 0.5000  2 Ir 2.73-2.78
Pu10 0.8584 0.2682 0.5000  2 Ir 2.73-2.78
Ir1 0.0000 0.9213 0.0000  6 Pu 2.80-2.89, 4 Rh 2.95-3.07
Ir2 0.5000 0.4213 0.0000  6 Pu 2.80-2.89, 4 Rh 2.95-3.07
Ir3 0.2635 0.4102 0.5000  6 Pu 2.73-2.98
Ir4 0.7365 0.9102 0.5000  6 Pu 2.73-2.98
Rh1 0.1691 0.6130 0.1395  3 Pu 2.62-2.86, 1 Rh 2.67
Rh2 0.8309 0.4736 0.8605  3 Pu 2.62-2.86, 1 Rh 2.67
Rh3 0.4703 0.1130 0.1395  3 Pu 2.62-2.86, 1 Rh 2.67
Rh4 0.5297 0.9736 0.8605  3 Pu 2.62-2.86, 1 Rh 2.67

Output
ΔE_f   -319 meV per atom
Fermi-level density of states   38.66 states/eV/f.u.

***

Here is crystalline Pu3Ir2Rh at its relaxed geometry from Alexandria via LeMat-Bulk. Energies are from PBE.

abc: 4.8526 8.4104 8.4104
angles: 120.33 106.74 106.74
Last column: nearest neighbours and their distance in Å.
Positions (direct):
Pu1 0.5038 0.8386 0.6692  5 Ir 2.92-2.99, 3 Rh 2.94-2.98
Pu2 0.0038 0.6692 0.8386  5 Ir 2.92-2.99, 3 Rh 2.94-2.98
Pu3 0.5000 0.5000 0.0000  6 Ir 2.97-2.98, 2 Rh 3.03
Pu4 0.4962 0.1614 0.3308  5 Ir 2.92-2.99, 3 Rh 2.94-2.98
Pu5 0.0000 0.0000 0.5000  6 Ir 2.97-2.98, 2 Rh 3.03
Pu6 0.9962 0.3308 0.1614  5 Ir 2.92-2.99, 3 Rh 2.94-2.98
Ir1 0.2500 0.0829 0.9171  8 Pu 2.95-2.98
Ir2 0.2500 0.7455 0.2545  8 Pu 2.92-2.99
Ir3 0.7500 0.9171 0.0829  8 Pu 2.95-2.98
Ir4 0.7500 0.2545 0.7455  8 Pu 2.92-2.99
Rh1 0.2500 0.4217 0.5783  8 Pu 2.94-3.03
Rh2 0.7500 0.5783 0.4217  8 Pu 2.94-3.03

Output
ΔE to the lowest computed polymorph   0.0 meV/atom
ΔE_f   -440 meV per atom
Fermi-level density of states   21.82 states/eV/f.u.

***

Here is crystalline Pu5Ir2Rh at its relaxed geometry from Alexandria via LeMat-Bulk. Energies are from PBE.

abc: 6.8717 6.8685 5.9642
angles: 124.51 124.62 91.06
Last column: nearest neighbours and their distance in Å.
Positions (direct):
Pu1 0.7109 0.2134 0.9351  2 Rh 2.88-3.14, 4 Ir 2.90-3.07, 2 Pu 2.93-3.14
Pu2 0.1940 0.1941 0.9157  1 Pu 2.48
Pu3 0.7202 0.7198 0.9398  2 Pu 2.88-3.11, 4 Ir 2.92-3.12, 2 Rh 2.93-3.02
Pu4 0.2140 0.7115 0.9352  2 Rh 2.89-3.15, 4 Ir 2.90-3.07, 2 Pu 2.93-3.13
Pu5 0.7745 0.7747 0.4920  1 Pu 2.48
Ir1 0.2289 0.6954 0.4203  8 Pu 2.89-3.14
Ir2 0.6962 0.2297 0.4215  8 Pu 2.89-3.14
Rh1 0.2383 0.2384 0.4945  8 Pu 2.87-3.15

Output
ΔE_f   -242 meV per atom
Fermi-level density of states   28.95 states/eV/f.u.

***

Here is crystalline Pu7IrRh2 at its relaxed geometry from Alexandria via LeMat-Bulk. Energies are from PBE.

abc: 7.1141 7.1141 7.1141
angles: 60.00 60.00 60.00
Last column: nearest neighbours and their distance in Å.
Positions (direct):
Pu1 0.5000 0.5000 0.5000  6 Pu 2.40
Pu2 0.2614 0.7386 0.7386  1 Pu 2.40, 1 Ir 2.63
Pu3 0.2614 0.7386 0.2614  1 Pu 2.40, 1 Ir 2.63
Pu4 0.7386 0.2614 0.7386  1 Pu 2.40, 1 Ir 2.63
Pu5 0.7386 0.7386 0.2614  1 Pu 2.40, 1 Ir 2.63
Pu6 0.2614 0.2614 0.7386  1 Pu 2.40, 1 Ir 2.63
Pu7 0.7386 0.2614 0.2614  1 Pu 2.40, 1 Ir 2.63
Ir1 0.0000 0.0000 0.0000  6 Pu 2.63
Rh1 0.2500 0.2500 0.2500  12 Pu 3.56
Rh2 0.7500 0.7500 0.7500  12 Pu 3.56

Output
ΔE_f   264 meV per atom
Fermi-level density of states   52.12 states/eV/f.u.

***

Here is crystalline PuIrRh at its relaxed geometry from Alexandria via LeMat-Bulk. Energies are from PBE.

abc: 5.3498 5.3461 5.3461
angles: 59.77 59.98 59.98
Last column: nearest neighbours and their distance in Å.
Positions (direct):
Pu1 0.8753 0.3747 0.3747  6 Ir 3.13-3.14, 6 Rh 3.13-3.14, 4 Pu 3.27-3.28
Pu2 0.1247 0.6253 0.6253  6 Ir 3.13-3.14, 6 Rh 3.13-3.14, 4 Pu 3.27-3.28
Ir1 0.0000 0.0000 0.0000  4 Rh 2.67, 2 Ir 2.67
Ir2 0.5000 0.0000 0.0000  4 Rh 2.67, 2 Ir 2.67
Rh1 0.5000 0.5000 0.0000  2 Rh 2.66, 4 Ir 2.67
Rh2 0.5000 0.0000 0.5000  2 Rh 2.66, 4 Ir 2.67

Output
ΔE to the lowest computed polymorph   0.0 meV/atom
ΔE_f   -550 meV per atom
Fermi-level density of states   7.77 states/eV/f.u.

***

Here is crystalline Pu2IrRh6 at its relaxed geometry from Alexandria via LeMat-Bulk. Energies are from PBE.

abc: 6.2656 5.3786 5.3786
angles: 59.97 89.80 89.80
Last column: nearest neighbours and their distance in Å.
Positions (direct):
Pu1 0.8642 0.6668 0.6668  9 Rh 2.94-3.27, 3 Ir 3.22
Pu2 0.1358 0.3332 0.3332  9 Rh 2.94-3.27, 3 Ir 3.22
Ir1 0.0000 0.0000 0.0000  6 Rh 2.59
Rh1 0.3250 0.3413 0.8288  1 Ir 2.59, 6 Rh 2.62-2.76
Rh2 0.3264 0.8288 0.8288  1 Ir 2.59, 6 Rh 2.62-2.76
Rh3 0.3250 0.8288 0.3413  1 Ir 2.59, 6 Rh 2.62-2.76
Rh4 0.6750 0.6587 0.1712  1 Ir 2.59, 6 Rh 2.62-2.76
Rh5 0.6736 0.1712 0.1712  1 Ir 2.59, 6 Rh 2.62-2.76
Rh6 0.6750 0.1712 0.6587  1 Ir 2.59, 6 Rh 2.62-2.76

Output
ΔE_f   -259 meV per atom
Fermi-level density of states   21.83 states/eV/f.u.

***

Here is crystalline Pu6Ir2Rh at its relaxed geometry from Alexandria via LeMat-Bulk. Energies are from PBE.

abc: 2.7532 7.8697 7.8697
angles: 120.00 90.00 90.00
Last column: nearest neighbours and their distance in Å.
Positions (direct):
Pu1 0.9253 0.6718 0.6717  5 Pu 2.62-2.75, 1 Rh 2.84, 2 Ir 2.89
Pu2 0.9253 0.9999 0.3282  5 Pu 2.62-2.75, 1 Rh 2.84, 2 Ir 2.89
Pu3 0.9253 0.3283 0.0001  5 Pu 2.62-2.75, 1 Rh 2.84, 2 Ir 2.89
Pu4 0.0747 0.3282 0.3283  5 Pu 2.62-2.75, 1 Rh 2.84, 2 Ir 2.89
Pu5 0.0747 0.0001 0.6718  5 Pu 2.62-2.75, 1 Rh 2.84, 2 Ir 2.89
Pu6 0.0747 0.6717 0.9999  5 Pu 2.62-2.75, 1 Rh 2.84, 2 Ir 2.89
Ir1 0.5006 0.6667 0.3333  2 Ir 2.75, 12 Pu 2.89-3.08
Ir2 0.4994 0.3333 0.6667  2 Ir 2.75, 12 Pu 2.89-3.08
Rh1 0.5000 0.0000 0.0000  2 Rh 2.75, 12 Pu 2.84-3.03

Output
ΔE_f   33 meV per atom